No. 1
{"formula": "BeAg2As", "functional": "PBE", "state": "relaxed", "spacegroup": "F-43m (216)", "crystal_system": "cubic", "final_energy_ev_per_atom": -3.1110, "lattice": [[-1.6832, -1.0535, 4.0609], [-4.3002, -1.3390, 0.3861], [-0.9452, -4.3041, 1.0075]], "species": ["Be", "As", "Ag", "Ag"], "fractional_positions": [[0.2500, 0.2500, 0.2500], [0.5000, 0.5000, 0.5000], [0.7500, 0.7500, 0.7500], [0.0000, 0.0000, 0.0000]]}

***

No. 2
{"formula": "Er2FeB4Pt4", "functional": "PBE", "state": "relaxed", "spacegroup": "Fmmm (69)", "crystal_system": "orthorhombic", "final_energy_ev_per_atom": -6.7887, "lattice": [[0.0000, 4.4579, 6.0907], [2.6859, 0.0000, 6.0907], [2.6859, 4.4579, 0.0000]], "species": ["B", "Er", "Fe", "Pt", "Pt", "B", "B", "B", "Pt", "Pt", "Er"], "fractional_positions": [[0.9731, 0.7497, 0.2503], [0.3653, 0.3653, 0.6347], [0.0000, 0.0000, 0.0000], [0.2500, 0.2500, 0.2500], [0.0000, 0.0000, 0.5000], [0.0269, 0.2503, 0.7497], [0.2503, 0.0269, 0.9731], [0.7497, 0.9731, 0.0269], [0.5000, 0.5000, 0.0000], [0.7500, 0.7500, 0.7500], [0.6347, 0.6347, 0.3653]]}

***

No. 3
{"formula": "NdCoSn2Pd", "functional": "PBE", "state": "relaxed", "spacegroup": "P4/nmm (129)", "crystal_system": "tetragonal", "final_energy_ev_per_atom": -5.5761, "lattice": [[-1.8185, 1.8201, 3.7511], [-4.0842, 0.0451, -2.0019], [-1.8831, -9.3643, 3.6309]], "species": ["Co", "Sn", "Nd", "Nd", "Sn", "Sn", "Sn", "Pd", "Pd", "Co"], "fractional_positions": [[0.0000, 0.5000, 0.3819], [0.5000, 0.5000, 0.5000], [0.0000, 0.5000, 0.7484], [0.5000, 0.0000, 0.2516], [0.0000, 0.5000, 0.1420], [0.5000, 0.0000, 0.8580], [0.0000, 0.0000, 0.5000], [0.0000, 0.0000, 0.0000], [0.5000, 0.5000, 0.0000], [0.5000, 0.0000, 0.6181]]}